[1]
{
  "formula": "Ca2AlGa6Cu",
  "functional": "PBE",
  "state": "optimized geometry",
  "lattice_angstrom": [[3.175, 1.833, 12.054], [-3.175, 1.833, 12.054], [0.000, -3.666, 12.054]],
  "species": ["Ca", "Ca", "Ca", "Ca", "Al", "Al", "Ga", "Ga", "Ga", "Ga", "Ga", "Ga", "Ga", "Ga", "Ga", "Ga", "Ga", "Ga", "Cu", "Cu"],
  "fractional_positions": [[0.139, 0.139, 0.139], [0.311, 0.311, 0.311], [0.689, 0.689, 0.689], [0.861, 0.861, 0.861], [0.000, 0.000, 0.000], [0.500, 0.500, 0.500], [0.057, 0.648, 0.648], [0.200, 0.200, 0.773], [0.200, 0.773, 0.200], [0.227, 0.800, 0.800], [0.352, 0.352, 0.943], [0.352, 0.943, 0.352], [0.648, 0.057, 0.648], [0.648, 0.648, 0.057], [0.773, 0.200, 0.200], [0.800, 0.227, 0.800], [0.800, 0.800, 0.227], [0.943, 0.352, 0.352], [0.422, 0.422, 0.422], [0.578, 0.578, 0.578]],
  "formation_enthalpy_0k_mev_per_atom": -217.6,
  "dos_ef_per_ev_fu": 2.305,
  "density_kg_m3": 4647,
  "crystal_system": "trigonal",
  "spacegroup": "R-3m (166)"
}

[2]
{
  "formula": "CaAlGaCu3",
  "functional": "PBE",
  "state": "optimized geometry",
  "lattice_angstrom": [[3.094, -6.121, 0.000], [3.094, 6.121, 0.000], [0.000, 0.000, 5.583]],
  "species": ["Ca", "Ca", "Al", "Al", "Ga", "Ga", "Cu", "Cu", "Cu", "Cu", "Cu", "Cu"],
  "fractional_positions": [[0.206, 0.794, 0.750], [0.794, 0.206, 0.250], [0.447, 0.553, 0.750], [0.553, 0.447, 0.250], [0.143, 0.857, 0.250], [0.857, 0.143, 0.750], [0.197, 0.197, 0.000], [0.197, 0.197, 0.500], [0.351, 0.649, 0.250], [0.649, 0.351, 0.750], [0.803, 0.803, 0.000], [0.803, 0.803, 0.500]],
  "formation_enthalpy_0k_mev_per_atom": -89.6,
  "dos_ef_per_ev_fu": 2.398,
  "density_kg_m3": 5142,
  "crystal_system": "orthorhombic",
  "spacegroup": "Cmcm (63)"
}

[3]
{
  "formula": "Ca2AlGa3Cu12",
  "functional": "PBE",
  "state": "optimized geometry",
  "lattice_angstrom": [[4.417, 2.550, 4.093], [-4.417, 2.550, 4.093], [0.000, -5.100, 4.093]],
  "species": ["Ca", "Ca", "Al", "Ga", "Ga", "Ga", "Cu", "Cu", "Cu", "Cu", "Cu", "Cu", "Cu", "Cu", "Cu", "Cu", "Cu", "Cu"],
  "fractional_positions": [[0.198, 0.198, 0.198], [0.802, 0.802, 0.802], [0.500, 0.500, 0.500], [0.000, 0.500, 0.500], [0.500, 0.000, 0.500], [0.500, 0.500, 0.000], [0.088, 0.088, 0.631], [0.088, 0.631, 0.088], [0.222, 0.695, 0.695], [0.305, 0.305, 0.778], [0.305, 0.778, 0.305], [0.369, 0.912, 0.912], [0.631, 0.088, 0.088], [0.695, 0.222, 0.695], [0.695, 0.695, 0.222], [0.778, 0.305, 0.305], [0.912, 0.369, 0.912], [0.912, 0.912, 0.369]],
  "formation_enthalpy_0k_mev_per_atom": 33.1,
  "dos_ef_per_ev_fu": 6.213,
  "density_kg_m3": 6477,
  "crystal_system": "trigonal",
  "spacegroup": "R-3m (166)"
}

[4]
{
  "formula": "CaAlGaCu2",
  "functional": "PBE",
  "state": "optimized geometry",
  "lattice_angstrom": [[-1.990, 2.075, 5.469], [1.990, -2.075, 5.469], [1.990, 2.075, -5.469]],
  "species": ["Ca", "Al", "Ga", "Cu", "Cu"],
  "fractional_positions": [[0.000, 0.000, 0.000], [0.259, 0.759, 0.500], [0.615, 0.615, 0.000], [0.391, 0.391, 0.000], [0.756, 0.256, 0.500]],
  "formation_enthalpy_0k_mev_per_atom": -270.2,
  "dos_ef_per_ev_fu": 2.429,
  "density_kg_m3": 4852,
  "crystal_system": "orthorhombic",
  "spacegroup": "Imm2 (44)"
}

[5]
{
  "formula": "CaAlGa2Cu",
  "functional": "PBE",
  "state": "optimized geometry",
  "lattice_angstrom": [[-2.042, 2.042, 5.636], [2.042, -2.042, 5.636], [2.042, 2.042, -5.636]],
  "species": ["Ca", "Al", "Ga", "Ga", "Cu"],
  "fractional_positions": [[0.000, 0.000, 0.000], [0.750, 0.250, 0.500], [0.387, 0.387, 0.000], [0.613, 0.613, 0.000], [0.250, 0.750, 0.500]],
  "formation_enthalpy_0k_mev_per_atom": -360.7,
  "dos_ef_per_ev_fu": 1.616,
  "density_kg_m3": 4771,
  "crystal_system": "tetragonal",
  "spacegroup": "I-4m2 (119)"
}

[6]
{
  "formula": "Ca2Al4GaCu3",
  "functional": "PBE",
  "state": "optimized geometry",
  "lattice_angstrom": [[4.160, 0.000, 0.000], [0.000, 4.160, 0.000], [0.000, 0.000, 10.726]],
  "species": ["Ca", "Ca", "Al", "Al", "Al", "Al", "Ga", "Cu", "Cu", "Cu"],
  "fractional_positions": [[0.000, 0.500, 0.247], [0.500, 0.000, 0.753], [0.000, 0.000, 0.000], [0.000, 0.500, 0.640], [0.500, 0.000, 0.360], [0.500, 0.500, 0.000], [0.000, 0.000, 0.500], [0.000, 0.500, 0.868], [0.500, 0.000, 0.132], [0.500, 0.500, 0.500]],
  "formation_enthalpy_0k_mev_per_atom": -294.8,
  "dos_ef_per_ev_fu": 4.572,
  "density_kg_m3": 4012,
  "crystal_system": "tetragonal",
  "spacegroup": "P-4m2 (115)"
}

[7]
{
  "formula": "CaAl2GaCu2",
  "functional": "PBE",
  "state": "optimized geometry",
  "lattice_angstrom": [[4.521, 0.000, 0.000], [0.000, 4.521, 0.000], [0.000, 0.000, 5.677]],
  "species": ["Ca", "Al", "Al", "Ga", "Cu", "Cu"],
  "fractional_positions": [[0.000, 0.000, 0.000], [0.500, 0.500, 0.244], [0.500, 0.500, 0.756], [0.000, 0.000, 0.500], [0.000, 0.500, 0.500], [0.500, 0.000, 0.500]],
  "formation_enthalpy_0k_mev_per_atom": -17.6,
  "dos_ef_per_ev_fu": 2.987,
  "density_kg_m3": 4161,
  "crystal_system": "tetragonal",
  "spacegroup": "P4/mmm (123)"
}

[8]
{
  "formula": "CaAlGa4Cu2",
  "functional": "PBE",
  "state": "optimized geometry",
  "lattice_angstrom": [[2.158, 1.246, 9.040], [-2.158, 1.246, 9.040], [0.000, -2.492, 9.040]],
  "species": ["Ca", "Al", "Ga", "Ga", "Ga", "Ga", "Cu", "Cu"],
  "fractional_positions": [[0.000, 0.000, 0.000], [0.500, 0.500, 0.500], [0.123, 0.123, 0.123], [0.401, 0.401, 0.401], [0.599, 0.599, 0.599], [0.877, 0.877, 0.877], [0.228, 0.228, 0.228], [0.772, 0.772, 0.772]],
  "formation_enthalpy_0k_mev_per_atom": -144.0,
  "dos_ef_per_ev_fu": 2.330,
  "density_kg_m3": 5388,
  "crystal_system": "trigonal",
  "spacegroup": "R-3m (166)"
}

[9]
{
  "formula": "Ca2AlCu3Ge4",
  "functional": "PBE",
  "state": "optimized geometry",
  "lattice_angstrom": [[4.070, 0.000, 0.000], [0.000, 4.070, 0.000], [0.000, 0.000, 10.950]],
  "species": ["Ca", "Ca", "Al", "Cu", "Cu", "Cu", "Ge", "Ge", "Ge", "Ge"],
  "fractional_positions": [[0.000, 0.500, 0.247], [0.500, 0.000, 0.753], [0.000, 0.000, 0.500], [0.000, 0.500, 0.863], [0.500, 0.000, 0.137], [0.500, 0.500, 0.500], [0.000, 0.000, 0.000], [0.000, 0.500, 0.643], [0.500, 0.000, 0.357], [0.500, 0.500, 0.000]],
  "formation_enthalpy_0k_mev_per_atom": -389.3,
  "dos_ef_per_ev_fu": 2.450,
  "density_kg_m3": 5386,
  "crystal_system": "tetragonal",
  "spacegroup": "P-4m2 (115)"
}

[10]
{
  "formula": "CaAl4Cu2Ir",
  "functional": "PBE",
  "state": "optimized geometry",
  "lattice_angstrom": [[2.091, 1.207, 9.375], [-2.091, 1.207, 9.375], [0.000, -2.415, 9.375]],
  "species": ["Ca", "Al", "Al", "Al", "Al", "Cu", "Cu", "Ir"],
  "fractional_positions": [[0.000, 0.000, 0.000], [0.134, 0.134, 0.134], [0.408, 0.408, 0.408], [0.592, 0.592, 0.592], [0.866, 0.866, 0.866], [0.230, 0.230, 0.230], [0.770, 0.770, 0.770], [0.500, 0.500, 0.500]],
  "formation_enthalpy_0k_mev_per_atom": -372.1,
  "dos_ef_per_ev_fu": 3.958,
  "density_kg_m3": 5463,
  "crystal_system": "trigonal",
  "spacegroup": "R-3m (166)"
}

[11]
{
  "formula": "CaLaAlCu",
  "functional": "PBE",
  "state": "optimized geometry",
  "lattice_angstrom": [[0.000, 3.704, 3.704], [3.704, 0.000, 3.704], [3.704, 3.704, 0.000]],
  "species": ["Ca", "La", "Al", "Cu"],
  "fractional_positions": [[0.000, 0.000, 0.000], [0.500, 0.500, 0.500], [0.750, 0.750, 0.750], [0.250, 0.250, 0.250]],
  "formation_enthalpy_0k_mev_per_atom": -190.4,
  "dos_ef_per_ev_fu": 2.385,
  "density_kg_m3": 4403,
  "crystal_system": "cubic",
  "spacegroup": "F-43m (216)"
}

[12]
{
  "formula": "LiCa2Al2Cu5",
  "functional": "PBE",
  "state": "optimized geometry",
  "lattice_angstrom": [[10.115, 0.000, 0.000], [0.000, 10.115, 0.000], [0.000, 0.000, 3.422]],
  "species": ["Li", "Li", "Ca", "Ca", "Ca", "Ca", "Al", "Al", "Al", "Al", "Cu", "Cu", "Cu", "Cu", "Cu", "Cu", "Cu", "Cu", "Cu", "Cu"],
  "fractional_positions": [[0.000, 0.000, 0.000], [0.500, 0.500, 0.000], [0.176, 0.324, 0.000], [0.324, 0.824, 0.000], [0.676, 0.176, 0.000], [0.824, 0.676, 0.000], [0.122, 0.622, 0.000], [0.378, 0.122, 0.000], [0.622, 0.878, 0.000], [0.878, 0.378, 0.000], [0.000, 0.500, 0.500], [0.056, 0.802, 0.500], [0.198, 0.056, 0.500], [0.302, 0.556, 0.500], [0.444, 0.302, 0.500], [0.500, 0.000, 0.500], [0.556, 0.698, 0.500], [0.698, 0.444, 0.500], [0.802, 0.944, 0.500], [0.944, 0.198, 0.500]],
  "formation_enthalpy_0k_mev_per_atom": -44.4,
  "dos_ef_per_ev_fu": 3.948,
  "density_kg_m3": 4352,
  "crystal_system": "tetragonal",
  "spacegroup": "P4/mbm (127)"
}